Version P
Entry from Alexandria via LeMat-Bulk: crystalline Sm7Dy2Y at its relaxed geometry (PBE).

Values from the calculation:
The calculation puts the density of states at the Fermi level at 14.70 states/eV/f.u. Its space group is No. 65.

Structure (POSCAR):
```
Sm7Dy2Y
1.0
-2.944 -3.313 -3.332
7.402 -0.714 -5.830
-1.717 -5.787 7.270
Sm Dy Y
7 2 1
direct
0.000 0.790 0.210
0.000 0.210 0.790
0.500 0.067 0.290
0.500 0.933 0.710
0.500 0.290 0.067
0.500 0.710 0.933
0.500 0.500 0.500
0.500 0.705 0.295
0.500 0.295 0.705
0.000 0.000 0.000
```

=====

Version Q
Entry from Alexandria via LeMat-Bulk: crystalline Sm7Dy2Y at its relaxed geometry (PBE).

Values from the calculation:
The calculation puts the density of states at the Fermi level at 14.83 states/eV/f.u. Its space group is No. 2.

Structure (POSCAR):
```
Sm7Dy2Y
1.0
6.179 0.343 -0.826
0.938 7.715 -5.540
-1.809 -2.597 9.005
Sm Dy Y
7 2 1
direct
0.099 0.501 0.200
0.901 0.499 0.800
0.300 0.499 0.599
0.700 0.501 0.401
0.601 0.999 0.200
0.399 0.001 0.800
0.500 0.500 0.000
0.799 0.000 0.599
0.201 0.000 0.401
0.000 0.000 0.000
```

=====

Q: Which of them is the least stable? A: version P.

=====

Version P
Entry from Alexandria via LeMat-Bulk: crystalline Sm5Dy3Y2 at its relaxed geometry (PBE).

Values from the calculation:
The calculation puts the density of states at the Fermi level at 15.73 states/eV/f.u. Its space group is No. 72.

Structure (POSCAR):
```
Sm5Dy3Y2
1.0
-1.655 -3.743 10.166
1.372 -9.483 2.638
7.333 -3.030 5.984
Sm Dy Y
10 6 4
direct
0.250 0.500 0.500
0.750 0.500 0.500
0.500 0.750 0.750
0.000 0.250 0.250
0.500 0.250 0.250
0.000 0.750 0.750
0.124 0.472 0.279
0.876 0.528 0.721
0.624 0.279 0.472
0.376 0.721 0.528
0.250 0.000 0.000
0.750 0.000 0.000
0.376 0.372 0.876
0.624 0.628 0.124
0.876 0.876 0.372
0.124 0.124 0.628
0.124 0.782 0.969
0.876 0.218 0.031
0.624 0.969 0.782
0.376 0.031 0.218
```

=====

Version Q
Entry from Alexandria via LeMat-Bulk: crystalline Sm5Dy3Y2 at its relaxed geometry (PBE).

Values from the calculation:
The calculation puts the density of states at the Fermi level at 18.68 states/eV/f.u. Its space group is No. 15.

Structure (POSCAR):
```
Sm5Dy3Y2
1.0
-7.972 5.339 -2.921
-8.567 -1.979 4.809
9.898 3.508 4.093
Sm Dy Y
10 6 4
direct
0.269 0.519 0.037
0.731 0.481 0.963
0.018 0.768 0.537
0.522 0.272 0.544
0.982 0.232 0.463
0.478 0.728 0.456
0.875 0.628 0.754
0.125 0.372 0.246
0.379 0.126 0.754
0.621 0.874 0.246
0.228 0.978 0.955
0.772 0.022 0.045
0.722 0.470 0.249
0.278 0.530 0.751
0.028 0.779 0.249
0.972 0.221 0.751
0.780 0.028 0.753
0.220 0.972 0.247
0.473 0.725 0.753
0.527 0.275 0.247
```

=====

Q: Which of them is the least stable? A: version P.

=====

Version P
Entry from Alexandria via LeMat-Bulk: crystalline Sm2Dy5Y12 at its relaxed geometry (PBE).

Values from the calculation:
The calculation puts the density of states at the Fermi level at 30.67 states/eV/f.u. Its space group is No. 1.

Structure (POSCAR):
```
Sm2Dy5Y12
1.0
6.083 0.664 0.332
-2.724 5.746 -5.249
0.555 1.650 15.452
Sm Dy Y
2 5 12
direct
0.618 0.867 0.020
0.225 0.009 0.970
0.480 0.634 0.757
0.427 0.731 0.395
0.992 0.889 0.347
0.174 0.109 0.607
0.681 0.376 0.190
0.110 0.194 0.233
0.921 0.489 0.819
0.363 0.335 0.874
0.867 0.575 0.446
0.608 0.953 0.658
0.791 0.155 0.917
0.551 0.033 0.285
0.737 0.262 0.552
0.301 0.415 0.497
0.251 0.515 0.137
0.858 0.663 0.085
0.046 0.795 0.710
```

=====

Version Q
Entry from Alexandria via LeMat-Bulk: crystalline Sm2Dy5Y12 at its relaxed geometry (PBE).

Values from the calculation:
The calculation puts the density of states at the Fermi level at 29.18 states/eV/f.u. Its space group is No. 12.

Structure (POSCAR):
```
Sm2Dy5Y12
1.0
-1.824 -6.147 6.796
12.066 0.656 -2.591
-5.520 5.574 3.560
Sm Dy Y
2 5 12
direct
0.675 0.000 0.000
0.325 0.000 0.000
0.298 0.596 0.613
0.230 0.461 0.887
0.000 0.000 0.500
0.770 0.539 0.113
0.702 0.404 0.387
0.081 0.162 0.287
0.028 0.697 0.936
0.669 0.697 0.936
0.180 0.743 0.403
0.563 0.743 0.403
0.558 0.116 0.784
0.442 0.884 0.216
0.820 0.257 0.597
0.437 0.257 0.597
0.972 0.303 0.064
0.331 0.303 0.064
0.919 0.838 0.713
```

=====

Q: Which of them is the least stable? A: version Q.

=====

Version P
Entry from Alexandria via LeMat-Bulk: crystalline Sm8DyY2 at its relaxed geometry (PBE).

Values from the calculation:
The calculation puts the density of states at the Fermi level at 16.11 states/eV/f.u. Its space group is No. 12.

Structure (POSCAR):
```
Sm8DyY2
1.0
-0.179 2.291 -4.560
-5.914 -5.002 -2.281
-4.177 6.070 6.073
Sm Dy Y
8 1 2
direct
0.591 0.453 0.181
0.318 0.090 0.637
0.136 0.182 0.272
0.046 0.728 0.091
0.864 0.818 0.728
0.682 0.910 0.363
0.409 0.547 0.819
0.954 0.272 0.909
0.500 0.000 0.000
0.227 0.636 0.454
0.773 0.364 0.546
```

=====

Version Q
Entry from Alexandria via LeMat-Bulk: crystalline Sm8DyY2 at its relaxed geometry (PBE).

Values from the calculation:
The calculation puts the density of states at the Fermi level at 17.98 states/eV/f.u. Its space group is No. 12.

Structure (POSCAR):
```
Sm8DyY2
1.0
6.283 1.852 1.405
2.052 9.650 3.081
2.052 5.566 8.464
Sm Dy Y
8 1 2
direct
0.227 0.349 0.826
0.773 0.174 0.651
0.170 0.754 0.754
0.830 0.246 0.246
0.227 0.826 0.349
0.773 0.651 0.174
0.726 0.591 0.591
0.274 0.409 0.409
0.000 0.000 0.000
0.589 0.801 0.801
0.411 0.199 0.199
```

=====

Q: Which of them is the least stable? A: version Q.